Entry A
Entry from the Alexandria database: a geometry-optimized CsAs structure (GGA-PBE).

Output
Fermi-level density of states = 31.03 states/eV per cell
M_tot = 6.6 Bohr magnetons per cell

abc: 16.0382 19.1699 4.7471
angles: 90.00 90.00 90.00
Last column: nearest neighbours and their distance in Å.
Fractional coordinates of all 32 atoms:
Cs: 0.2500 0.1111 0.7500  6 As 3.75-3.76
Cs: 0.0000 0.1389 0.0000  6 As 3.75-3.76
Cs: 0.2500 0.6111 0.2500  6 As 3.75-3.76
Cs: 0.0000 0.8611 0.0000  6 As 3.75-3.76
Cs: 0.7500 0.1111 0.2500  6 As 3.75-3.76
Cs: 0.5000 0.6389 0.0000  6 As 3.75-3.76
Cs: 0.2500 0.3889 0.7500  6 As 3.75-3.76
Cs: 0.5000 0.3611 0.0000  6 As 3.75-3.76
Cs: 0.5000 0.1389 0.5000  6 As 3.75-3.76
Cs: 0.5000 0.8611 0.5000  6 As 3.75-3.76
Cs: 0.0000 0.6389 0.5000  6 As 3.75-3.76
Cs: 0.7500 0.6111 0.7500  6 As 3.75-3.76
Cs: 0.2500 0.8889 0.2500  6 As 3.75-3.76
Cs: 0.7500 0.3889 0.2500  6 As 3.75-3.76
Cs: 0.0000 0.3611 0.5000  6 As 3.75-3.76
Cs: 0.7500 0.8889 0.7500  6 As 3.75-3.76
As: 0.8218 0.2500 0.7500  1 As 2.30
As: 0.0718 0.5000 0.0000  1 As 2.30
As: 0.5718 0.0000 0.0000  1 As 2.30
As: 0.6782 0.2500 0.7500  1 As 2.30
As: 0.4282 0.0000 0.0000  1 As 2.30
As: 0.3218 0.2500 0.2500  1 As 2.30
As: 0.4282 0.5000 0.5000  1 As 2.30
As: 0.8218 0.7500 0.2500  1 As 2.30
As: 0.9282 0.5000 0.0000  1 As 2.30
As: 0.6782 0.7500 0.2500  1 As 2.30
As: 0.0718 0.0000 0.5000  1 As 2.30
As: 0.3218 0.7500 0.7500  1 As 2.30
As: 0.1782 0.7500 0.7500  1 As 2.30
As: 0.9282 0.0000 0.5000  1 As 2.30
As: 0.5718 0.5000 0.5000  1 As 2.30
As: 0.1782 0.2500 0.2500  1 As 2.30

---

Entry B
Entry from the Alexandria database: a geometry-optimized CsAs structure (GGA-PBE).

Output
Fermi-level density of states = 6.86 states/eV per cell
M_tot = 0.3 Bohr magnetons per cell

abc: 13.1511 13.1511 4.4521
angles: 90.00 90.00 120.00
Last column: nearest neighbours and their distance in Å.
Fractional coordinates of all 12 atoms:
Cs: 0.2139 0.7861 0.2500  6 As 3.73-3.84
Cs: 0.5722 0.7861 0.2500  6 As 3.73-3.84
Cs: 0.7861 0.5722 0.7500  6 As 3.73-3.84
Cs: 0.4278 0.2139 0.7500  6 As 3.73-3.84
Cs: 0.7861 0.2139 0.7500  6 As 3.73-3.84
Cs: 0.2139 0.4278 0.2500  6 As 3.73-3.84
As: 0.5261 0.4739 0.2500  2 As 2.52
As: 0.5261 0.0523 0.2500  2 As 2.52
As: 0.4739 0.9477 0.7500  2 As 2.52
As: 0.4739 0.5261 0.7500  2 As 2.52
As: 0.9477 0.4739 0.2500  2 As 2.52
As: 0.0523 0.5261 0.7500  2 As 2.52

---

Entry C
Entry from the Alexandria database: a geometry-optimized CsAs structure (GGA-PBE).

Output
Fermi-level density of states = 7.71 states/eV per cell
M_tot = 8.0 Bohr magnetons per cell

abc: 7.5361 7.5361 7.5361
angles: 90.00 90.00 90.00
Last column: nearest neighbours and their distance in Å.
Fractional coordinates of all 8 atoms:
Cs: 0.5000 0.5000 0.5000  6 As 3.77
Cs: 0.5000 0.0000 0.0000  6 As 3.77
Cs: 0.0000 0.5000 0.0000  6 As 3.77
Cs: 0.0000 0.0000 0.5000  6 As 3.77
As: 0.0000 0.5000 0.5000  6 Cs 3.77
As: 0.5000 0.5000 0.0000  6 Cs 3.77
As: 0.0000 0.0000 0.0000  6 Cs 3.77
As: 0.5000 0.0000 0.5000  6 Cs 3.77

---

Entry D
Entry from the Alexandria database: a geometry-optimized CsAs structure (GGA-PBE).

Output
M_tot = 0.0 Bohr magnetons per cell

abc: 6.8526 7.4196 12.8681
angles: 90.00 90.00 90.00
Last column: nearest neighbours and their distance in Å.
Fractional coordinates of all 16 atoms:
As: 0.8338 0.8113 0.3999  2 As 2.53-2.55
As: 0.0937 0.9159 0.5284  2 As 2.53-2.55
As: 0.3338 0.6887 0.6001  2 As 2.53-2.55
As: 0.6662 0.1887 0.8999  2 As 2.53-2.55
As: 0.5937 0.5841 0.4716  2 As 2.53-2.55
As: 0.9063 0.4159 0.9716  2 As 2.53-2.55
As: 0.1662 0.3113 0.1001  2 As 2.53-2.55
As: 0.4063 0.0841 0.0284  2 As 2.53-2.55
Cs: 0.8984 0.8889 0.0809  5 As 3.59-3.83, 1 Cs 3.99
Cs: 0.6016 0.1111 0.5809  5 As 3.59-3.83, 1 Cs 3.99
Cs: 0.1016 0.3889 0.4191  5 As 3.59-3.83, 1 Cs 3.99
Cs: 0.3984 0.6111 0.9191  5 As 3.59-3.83, 1 Cs 3.99
Cs: 0.1667 0.1502 0.7857  5 As 3.56-3.77, 1 Cs 3.99
Cs: 0.3333 0.8498 0.2857  5 As 3.56-3.77, 1 Cs 3.99
Cs: 0.6667 0.3498 0.2143  5 As 3.56-3.77, 1 Cs 3.99
Cs: 0.8333 0.6502 0.7143  5 As 3.56-3.77, 1 Cs 3.99

---

Which one sits at the top of the stability order? entry D does.

---

Entry A
Entry from the Alexandria database: a geometry-optimized Cs5As structure (GGA-PBE).

Output
Fermi-level density of states = 4.25 states/eV per cell
M_tot = 0.0 Bohr magnetons per cell

abc: 4.7726 10.4880 10.5065
angles: 83.65 76.87 76.85
Last column: nearest neighbours and their distance in Å.
Fractional coordinates of all 6 atoms:
Cs: 0.6613 0.0064 0.6710  2 As 3.67, 2 Cs 3.94-3.95
Cs: 0.6598 0.7264 0.9540  2 As 3.67, 2 Cs 3.94-3.95
Cs: 0.0265 0.5004 0.4466  2 Cs 4.77
Cs: 0.3960 0.2734 0.9346  2 As 3.67, 2 Cs 3.93-3.95
Cs: 0.3948 0.9936 0.2168  2 As 3.67, 2 Cs 3.93-3.95
As: 0.0281 0.9999 0.9438  8 Cs 3.67

---

Entry B
Entry from the Alexandria database: a geometry-optimized Cs5As structure (GGA-PBE).

Output
Fermi-level density of states = 3.47 states/eV per cell
M_tot = 0.0 Bohr magnetons per cell

abc: 6.4843 6.0055 10.4429
angles: 106.71 90.00 90.00
Last column: nearest neighbours and their distance in Å.
Fractional coordinates of all 6 atoms:
Cs: 0.0000 0.6208 0.2415  2 As 3.85, 2 Cs 4.04
Cs: 0.5000 0.8611 0.7222  6 Cs 4.09-4.43, 2 As 4.27
Cs: 0.0000 0.3792 0.7585  2 As 3.85, 2 Cs 4.04
Cs: 0.5000 0.1389 0.2778  6 Cs 4.09-4.43, 2 As 4.27
Cs: 0.5000 0.5000 0.0000  8 Cs 4.04-4.09, 4 As 4.42
As: 0.0000 0.0000 0.0000  8 Cs 3.85-4.27

---

Which one sits at the top of the stability order? entry A does.